No. 1
# KHfAgTeSeS

A relaxed KHfAgTeSeS crystal (GGA-PBE, OQMD via LeMat-Bulk).

Results
Space-group type: P2_1/m
Polymorph energy (0 for the lowest one): 0.072 eV per atom
Total magnetic moment: 0.0 μB per formula unit

abc: 8.494 4.046 10.279
angles: 90.00 109.86 90.00
Fractional positions:
Ag: 0.073 0.250 0.601
Ag: 0.927 0.750 0.399
S: 0.746 0.250 0.428
S: 0.254 0.750 0.572
Hf: 0.706 0.250 0.177
Hf: 0.294 0.750 0.823
K: 0.752 0.750 0.687
K: 0.248 0.250 0.313
Te: 0.440 0.750 0.136
Te: 0.560 0.250 0.864
Se: 0.101 0.250 0.862
Se: 0.899 0.750 0.138

---

No. 2
# AlTlAg2Se4

A relaxed AlTlAg2Se4 crystal (GGA-PBE, OQMD via LeMat-Bulk).

Results
E_tot: -28.988 eV per cell
Space-group type: I-4

abc: 7.270 7.270 7.270
angles: 129.83 129.83 73.68
Fractional positions:
Al: 0.500 0.500 0.000
Se: 0.613 0.622 0.465
Se: 0.852 0.387 0.009
Se: 0.378 0.843 0.991
Se: 0.157 0.148 0.535
Ag: 0.250 0.750 0.500
Ag: 0.000 0.000 0.000
Tl: 0.750 0.250 0.500

---

No. 3
# AcGdNi

A relaxed AcGdNi crystal (GGA-PBE, OQMD via LeMat-Bulk).

Results
Energy relative to the elements: -0.015 eV/atom
Space-group type: F-43m
Polymorph energy (0 for the lowest one): 0.000 eV per atom
Total magnetic moment: 0.0 μB per formula unit

abc: 5.012 5.012 5.012
angles: 60.00 60.00 60.00
Fractional positions:
Gd: 0.750 0.750 0.750
Ni: 0.000 0.000 0.000
Ac: 0.250 0.250 0.250

---

No. 4
# NaAgGeS3

A relaxed NaAgGeS3 crystal (GGA-PBE, OQMD via LeMat-Bulk).

Results
E_tot: -45.696 eV per cell
Space-group type: Cmcm

abc: 7.164 7.164 10.184
angles: 90.00 90.00 28.32
Fractional positions:
S: 0.375 0.375 0.985
S: 0.625 0.625 0.015
S: 0.961 0.961 0.250
S: 0.375 0.375 0.515
S: 0.625 0.625 0.485
S: 0.039 0.039 0.750
Ag: 0.615 0.615 0.250
Ag: 0.385 0.385 0.750
Ge: 0.000 0.000 0.500
Ge: 0.000 0.000 0.000
Na: 0.697 0.697 0.750
Na: 0.303 0.303 0.250

---

No. 5
# ScSiPd2

A relaxed ScSiPd2 crystal (GGA-PBE, OQMD via LeMat-Bulk).

Results
E_tot: -24.952 eV per cell
Space-group type: P4/mmm
Total magnetic moment: 0.0 μB per formula unit

abc: 4.167 4.167 3.647
angles: 90.00 90.00 90.00
Fractional positions:
Sc: 0.500 0.500 0.000
Pd: 0.500 0.000 0.500
Pd: 0.000 0.500 0.500
Si: 0.000 0.000 0.000

---

No. 6
# GdYSb

A relaxed GdYSb crystal (GGA-PBE, OQMD via LeMat-Bulk).

Results
E_tot: -16.989 eV per cell
Space-group type: F-43m
Total magnetic moment: 0.2 μB per formula unit

abc: 5.097 5.097 5.097
angles: 60.00 60.00 60.00
Site moments in Bohr magnetons follow the coordinates.
Fractional positions:
Gd: 0.000 0.000 0.000  0.06
Y: 0.500 0.500 0.500  0.05
Sb: 0.750 0.750 0.750  0.00

---

No. 7
# Cu2Ag3

A relaxed Cu2Ag3 crystal (GGA-PBE, OQMD via LeMat-Bulk).

Results
Energy relative to the elements: 0.048 eV/atom
Space-group type: C2/m
Polymorph energy (0 for the lowest one): 0.016 eV per atom

abc: 4.944 4.944 11.531
angles: 98.40 98.40 33.67
Fractional positions:
Cu: 0.350 0.350 0.971
Cu: 0.981 0.981 0.128
Cu: 0.019 0.019 0.872
Cu: 0.650 0.650 0.029
Ag: 0.726 0.726 0.784
Ag: 0.145 0.145 0.557
Ag: 0.436 0.436 0.669
Ag: 0.564 0.564 0.331
Ag: 0.274 0.274 0.216
Ag: 0.855 0.855 0.443

---

No. 8
# SrAsAuO

A relaxed SrAsAuO crystal (GGA-PBE, OQMD via LeMat-Bulk).

Results
Space-group type: P4/nmm
Polymorph energy (0 for the lowest one): 0.026 eV per atom

abc: 4.515 4.515 7.899
angles: 90.00 90.00 90.00
Fractional positions:
Sr: 0.000 0.500 0.884
Sr: 0.500 0.000 0.116
As: 0.500 0.000 0.670
As: 0.000 0.500 0.330
Au: 0.000 0.000 0.500
Au: 0.500 0.500 0.500
O: 0.500 0.500 0.000
O: 0.000 0.000 0.000

---

No. 9
# Tm6Bi2Mo

A relaxed Tm6Bi2Mo crystal (GGA-PBE, OQMD via LeMat-Bulk).

Results
E_tot: -49.495 eV per cell
Space-group type: P-62m
Total magnetic moment: 0.0 μB per formula unit

abc: 8.165 8.165 4.328
angles: 90.00 90.00 120.00
Fractional positions:
Tm: 0.000 0.764 0.500
Tm: 0.764 0.000 0.500
Tm: 0.236 0.236 0.500
Tm: 0.612 0.612 0.000
Tm: 0.388 0.000 0.000
Tm: 0.000 0.388 0.000
Bi: 0.667 0.333 0.500
Bi: 0.333 0.667 0.500
Mo: 0.000 0.000 0.000

---

No. 10
# ZrAlNO

A relaxed ZrAlNO crystal (GGA-PBE, OQMD via LeMat-Bulk).

Results
Space-group type: P4/nmm
Polymorph energy (0 for the lowest one): 0.618 eV per atom
Total magnetic moment: 0.0 μB per formula unit

abc: 3.588 3.588 7.465
angles: 90.00 90.00 90.00
Fractional positions:
Zr: 0.000 0.500 0.158
Zr: 0.500 0.000 0.842
O: 0.500 0.500 0.000
O: 0.000 0.000 0.000
N: 0.000 0.500 0.658
N: 0.500 0.000 0.342
Al: 0.500 0.500 0.500
Al: 0.000 0.000 0.500

---

No. 11
# HfCuSiAu

A relaxed HfCuSiAu crystal (GGA-PBE, OQMD via LeMat-Bulk).

Results
Space-group type: F-43m
Polymorph energy (0 for the lowest one): 0.000 eV per atom
Total magnetic moment: 0.0 μB per formula unit

abc: 4.541 4.541 4.541
angles: 60.00 60.00 60.00
Fractional positions:
Si: 0.000 0.000 0.000
Hf: 0.250 0.250 0.250
Au: 0.500 0.500 0.500
Cu: 0.750 0.750 0.750

---

No. 12
# PrErZn2As2O2

A relaxed PrErZn2As2O2 crystal (GGA-PBE, OQMD via LeMat-Bulk).

Results
E_tot: -45.469 eV per cell
Space-group type: P4mm
Total magnetic moment: 0.0 μB per formula unit

abc: 3.996 3.996 8.961
angles: 90.00 90.00 90.00
Fractional positions:
Zn: 0.500 0.000 0.502
Zn: 0.000 0.500 0.502
Er: 0.500 0.500 0.880
As: 0.500 0.500 0.320
As: 0.000 0.000 0.680
O: 0.500 0.000 0.991
O: 0.000 0.500 0.991
Pr: 0.000 0.000 0.133